No. 1
Density functional theory data (PBE) for a relaxed BaAl2Ni crystal.

Summary:
SG: F-43m, No. 216
Total DFT energy (no corrections) (eV per atom): -3.517

abc: 4.9610 4.9610 4.9610
angles: 60.00 60.00 60.00
Element x y z (fractional)
Ba 0.0000 0.0000 0.0000
Al 0.2500 0.2500 0.2500
Al 0.5000 0.5000 0.5000
Ni 0.7500 0.7500 0.7500

=====

No. 2
Density functional theory data (PBE) for a relaxed BaAl5NiPt crystal.

Summary:
SG: Imm2, No. 44
Total DFT energy (no corrections) (eV per atom): -4.657

abc: 6.6236 6.6236 6.6236
angles: 143.48 113.75 78.09
Element x y z (fractional)
Ba 0.0000 0.0000 0.0000
Al 0.1418 0.3373 0.8045
Al 0.4820 0.6654 0.8166
Al 0.5103 0.0103 0.5000
Al 0.5328 0.3373 0.1955
Al 0.8489 0.6654 0.1834
Ni 0.7314 0.2314 0.5000
Pt 0.2749 0.7749 0.5000

=====

No. 3
Density functional theory data (PBE) for a relaxed BaNpAl crystal.

Summary:
SG: F-43m, No. 216
Energy above the most stable polymorph in this dataset (eV per atom): 0.0000

abc: 5.4065 5.4065 5.4065
angles: 60.00 60.00 60.00
Element x y z (fractional)
Ba 0.0000 0.0000 0.0000
Np 0.5000 0.5000 0.5000
Al 0.2500 0.2500 0.2500

=====

No. 4
Density functional theory data (PBE) for a relaxed Ba2AlOsS6 crystal.

Summary:
SG: Fm-3m, No. 225
Total DFT energy (no corrections) (eV per atom): -5.288

abc: 6.7583 6.7583 6.7583
angles: 60.00 60.00 60.00
Element x y z (fractional)
Ba 0.2500 0.2500 0.2500
Ba 0.7500 0.7500 0.7500
Al 0.0000 0.0000 0.0000
Os 0.5000 0.5000 0.5000
S 0.2506 0.2506 0.7494
S 0.2506 0.7494 0.2506
S 0.2506 0.7494 0.7494
S 0.7494 0.2506 0.2506
S 0.7494 0.2506 0.7494
S 0.7494 0.7494 0.2506

=====

No. 5
Density functional theory data (PBE) for a relaxed Ba2AlTcP6 crystal.

Summary:
SG: R3m, No. 160
Total DFT energy (no corrections) (eV per atom): -5.432

abc: 7.0538 7.0538 7.0538
angles: 53.53 53.53 53.53
Element x y z (fractional)
Ba 0.0000 0.0000 0.0000
Ba 0.4997 0.4997 0.4997
Al 0.7041 0.7041 0.7041
Tc 0.2057 0.2057 0.2057
P 0.0626 0.4447 0.4447
P 0.4447 0.0626 0.4447
P 0.4447 0.4447 0.0626
P 0.5542 0.9478 0.9478
P 0.9478 0.5542 0.9478
P 0.9478 0.9478 0.5542

=====

No. 6
Density functional theory data (PBE) for a relaxed BaAlZn2P crystal.

Summary:
SG: I4mm, No. 107
Total DFT energy (no corrections) (eV per atom): -3.121

abc: 6.0819 6.0819 6.0819
angles: 135.74 135.74 64.38
Element x y z (fractional)
Ba 0.0000 0.0000 0.0000
Al 0.6347 0.6347 0.0000
Zn 0.2527 0.7527 0.5000
Zn 0.7527 0.2527 0.5000
P 0.3983 0.3983 0.0000

=====

No. 7
Density functional theory data (PBE) for a relaxed BaAlPt2Pb crystal.

Summary:
SG: P4/nmm, No. 129
Total DFT energy (no corrections) (eV per atom): -5.038

abc: 4.7040 4.7040 10.7460
angles: 90.00 90.00 90.00
Element x y z (fractional)
Ba 0.2500 0.2500 0.2328
Ba 0.7500 0.7500 0.7672
Al 0.2500 0.2500 0.8972
Al 0.7500 0.7500 0.1028
Pt 0.2500 0.2500 0.6643
Pt 0.2500 0.7500 0.0000
Pt 0.7500 0.2500 0.0000
Pt 0.7500 0.7500 0.3357
Pb 0.2500 0.7500 0.5000
Pb 0.7500 0.2500 0.5000

=====

No. 8
Density functional theory data (PBE) for a relaxed BaAlPd2 crystal.

Summary:
SG: Pmmn, No. 59
Total DFT energy (no corrections) (eV per atom): -4.736

abc: 4.3774 6.9991 6.2912
angles: 90.00 90.00 90.00
Element x y z (fractional)
Ba 0.2500 0.2500 0.1373
Ba 0.7500 0.7500 0.8627
Al 0.2500 0.7500 0.3886
Al 0.7500 0.2500 0.6114
Pd 0.2500 0.0537 0.6284
Pd 0.2500 0.4463 0.6284
Pd 0.7500 0.5537 0.3716
Pd 0.7500 0.9463 0.3716

=====

No. 9
Density functional theory data (PBE) for a relaxed BaAlPd crystal.

Summary:
SG: F-43m, No. 216
Total DFT energy (no corrections) (eV per atom): -3.777

abc: 4.9907 4.9907 4.9907
angles: 60.00 60.00 60.00
Element x y z (fractional)
Ba 0.0000 0.0000 0.0000
Al 0.5000 0.5000 0.5000
Pd 0.2500 0.2500 0.2500

=====

No. 10
Density functional theory data (PBE) for a relaxed BaAl2PdPt crystal.

Summary:
SG: P4/nmm, No. 129
Total DFT energy (no corrections) (eV per atom): -4.937

abc: 4.5387 4.5387 10.4013
angles: 90.00 90.00 90.00
Element x y z (fractional)
Ba 0.2500 0.2500 0.2453
Ba 0.7500 0.7500 0.7547
Al 0.2500 0.2500 0.8836
Al 0.2500 0.7500 0.5000
Al 0.7500 0.2500 0.5000
Al 0.7500 0.7500 0.1164
Pd 0.2500 0.7500 0.0000
Pd 0.7500 0.2500 0.0000
Pt 0.2500 0.2500 0.6243
Pt 0.7500 0.7500 0.3757

=====

No. 11
Density functional theory data (PBE) for a relaxed BaAl5PdPt crystal.

Summary:
SG: Imm2, No. 44
Total DFT energy (no corrections) (eV per atom): -4.681

abc: 6.6930 6.6930 6.6930
angles: 143.25 113.42 78.54
Element x y z (fractional)
Ba 0.0000 0.0000 0.0000
Al 0.1516 0.3397 0.8119
Al 0.4682 0.6580 0.8102
Al 0.5016 0.0016 0.5000
Al 0.5278 0.3397 0.1881
Al 0.8478 0.6580 0.1898
Pd 0.7320 0.2320 0.5000
Pt 0.2694 0.7694 0.5000

=====

No. 12
Density functional theory data (PBE) for a relaxed BaScAl4Pd2 crystal.

Summary:
SG: Amm2, No. 38
Total DFT energy (no corrections) (eV per atom): -4.723

abc: 7.3871 5.5604 5.5604
angles: 45.38 90.00 90.00
Element x y z (fractional)
Ba 0.0000 0.0000 0.0000
Sc 0.5000 0.8741 0.8741
Al 0.2157 0.2868 0.2868
Al 0.3194 0.5937 0.5937
Al 0.6806 0.5937 0.5937
Al 0.7843 0.2868 0.2868
Pd 0.0000 0.7213 0.7213
Pd 0.5000 0.1515 0.1515